No. 1
VASP calculation (PBE-GGA) on an optimized crystal structure of HoTmGa4Ag2.

a = 6.6104 Å, b = 5.6862 Å, c = 5.6862 Å
α = 46.65°, β = 90.00°, γ = 90.00°
Closest atoms and distances in Å follow each position.
Atoms (fractional coordinates):
1 Ga 0.3008 0.1184 0.1184  2 Ga 2.56-2.63, 3 Ag 2.74-2.75
2 Ag 0.0000 0.2998 0.2998  6 Ga 2.75, 1 Ho 3.05
3 Ga 0.6992 0.1184 0.1184  2 Ga 2.56-2.63, 3 Ag 2.74-2.75
4 Ga 0.2003 0.8820 0.8820  2 Ga 2.56-2.65, 3 Ag 2.74-2.75
5 Ag 0.5000 0.7002 0.7002  6 Ga 2.74, 1 Tm 3.05
6 Ga 0.7997 0.8820 0.8820  2 Ga 2.56-2.65, 3 Ag 2.74-2.75
7 Ho 0.0000 0.5915 0.5915  6 Ga 3.02-3.31, 3 Ag 3.05-3.13
8 Tm 0.5000 0.4079 0.4079  6 Ga 3.01-3.30, 3 Ag 3.05-3.13

Summary:
* crystal system: orthorhombic
* raw total energy: -3.808 eV per atom

No. 2
VASP calculation (PBE-GGA) on an optimized crystal structure of YHoGa4Ag2.

a = 6.6285 Å, b = 5.7064 Å, c = 5.7064 Å
α = 46.77°, β = 90.00°, γ = 90.00°
Closest atoms and distances in Å follow each position.
Atoms (fractional coordinates):
1 Ho 0.5000 0.4070 0.4070  6 Ga 3.03-3.30, 3 Ag 3.07-3.13
2 Ga 0.1998 0.8824 0.8824  2 Ga 2.56-2.65, 3 Ag 2.76
3 Ag 0.0000 0.2998 0.2998  6 Ga 2.76, 1 Y 3.07
4 Ga 0.6985 0.1179 0.1179  2 Ga 2.56-2.63, 3 Ag 2.76
5 Ga 0.3015 0.1179 0.1179  2 Ga 2.56-2.63, 3 Ag 2.76
6 Ag 0.5000 0.7002 0.7002  6 Ga 2.76, 1 Ho 3.07
7 Y 0.0000 0.5925 0.5925  6 Ga 3.03-3.31, 3 Ag 3.07-3.14
8 Ga 0.8002 0.8824 0.8824  2 Ga 2.56-2.65, 3 Ag 2.76

Summary:
* crystal system: orthorhombic
* raw total energy: -4.077 eV per atom

No. 3
VASP calculation (PBE-GGA) on an optimized crystal structure of YHoGa2Ag2.

a = 4.5949 Å, b = 4.5949 Å, c = 6.9871 Å
α = 90.00°, β = 90.00°, γ = 120.00°
Closest atoms and distances in Å follow each position.
Atoms (fractional coordinates):
1 Ag 0.6667 0.3333 0.7392  3 Ga 2.67
2 Ho 0.0000 0.0000 0.0000  6 Ga 3.05, 6 Ag 3.22
3 Y 0.0000 0.0000 0.5000  6 Ag 3.14, 6 Ga 3.32, 2 Ho 3.49
4 Ga 0.3333 0.6667 0.7846  3 Ag 2.67
5 Ag 0.6667 0.3333 0.2608  3 Ga 2.67
6 Ga 0.3333 0.6667 0.2154  3 Ag 2.67

Summary:
* crystal system: hexagonal
* raw total energy: -4.305 eV per atom

No. 4
VASP calculation (PBE-GGA) on an optimized crystal structure of Li2InGaAg4.

a = 4.5314 Å, b = 4.5314 Å, c = 6.7108 Å
α = 90.00°, β = 90.00°, γ = 90.00°
Closest atoms and distances in Å follow each position.
Atoms (fractional coordinates):
1 Ag 0.5000 0.0000 0.2316  4 Li 2.75-2.89, 2 Ga 2.75, 2 In 2.89
2 Ag 0.0000 0.5000 0.2332  4 Li 2.75-2.89, 2 Ga 2.75, 2 In 2.89
3 Ag 0.5000 0.0000 0.7668  4 Li 2.75-2.89, 2 Ga 2.75, 2 In 2.89
4 Li 0.0000 0.0000 0.5000  8 Ag 2.89, 4 In 3.20
5 Ga 0.0000 0.0000 0.0000  8 Ag 2.75
6 In 0.5000 0.5000 0.5000  8 Ag 2.89, 4 Li 3.20
7 Li 0.5000 0.5000 0.0000  8 Ag 2.75
8 Ag 0.0000 0.5000 0.7684  4 Li 2.75-2.89, 2 Ga 2.75, 2 In 2.89

Summary:
* crystal system: tetragonal
* raw total energy: -2.838 eV per atom

No. 5
VASP calculation (PBE-GGA) on an optimized crystal structure of Li4InGaAg2.

a = 4.5137 Å, b = 4.5137 Å, c = 6.4758 Å
α = 90.00°, β = 90.00°, γ = 90.00°
Closest atoms and distances in Å follow each position.
Atoms (fractional coordinates):
1 Ga 0.5000 0.5000 0.0000  4 Ag 2.71, 4 Li 2.71
2 Ag 0.5000 0.0000 0.2315  5 Li 2.71-3.00, 2 Ga 2.71, 2 In 2.85
3 Ag 0.0000 0.5000 0.7685  5 Li 2.71-3.00, 2 Ga 2.71, 2 In 2.85
4 In 0.0000 0.0000 0.5000  4 Li 2.85, 4 Ag 2.85
5 Li 0.0000 0.0000 0.0000  4 Ag 2.71, 4 Li 2.71
6 Li 0.5000 0.5000 0.5000  4 Li 2.85, 4 Ag 2.85
7 Li 0.5000 0.0000 0.7678  4 Li 2.71-2.85, 2 Ga 2.71, 2 In 2.85, 1 Ag 3.00
8 Li 0.0000 0.5000 0.2322  4 Li 2.71-2.85, 2 Ga 2.71, 2 In 2.85, 1 Ag 3.00

Summary:
* crystal system: tetragonal
* raw total energy: -2.679 eV per atom

No. 6
VASP calculation (PBE-GGA) on an optimized crystal structure of Li2Mg2InGaAg2.

a = 4.6337 Å, b = 4.6337 Å, c = 6.5660 Å
α = 90.00°, β = 90.00°, γ = 90.00°
Closest atoms and distances in Å follow each position.
Atoms (fractional coordinates):
1 Ag 0.0000 0.5000 0.2347  4 Mg 2.78-2.90, 2 Ga 2.78, 2 In 2.90, 1 Li 3.08
2 Ga 0.0000 0.0000 0.0000  4 Li 2.78, 4 Ag 2.78
3 Li 0.0000 0.5000 0.7661  4 Mg 2.78-2.90, 2 Ga 2.78, 2 In 2.90, 1 Ag 3.08
4 Mg 0.0000 0.0000 0.5000  4 Ag 2.90, 4 Li 2.90
5 Ag 0.5000 0.0000 0.7653  4 Mg 2.78-2.90, 2 Ga 2.78, 2 In 2.90, 1 Li 3.08
6 Mg 0.5000 0.5000 0.0000  4 Li 2.78, 4 Ag 2.78
7 In 0.5000 0.5000 0.5000  4 Ag 2.90, 4 Li 2.90
8 Li 0.5000 0.0000 0.2339  4 Mg 2.78-2.90, 2 Ga 2.78, 2 In 2.90, 1 Ag 3.08

Summary:
* crystal system: tetragonal
* raw total energy: -2.546 eV per atom

No. 7
VASP calculation (PBE-GGA) on an optimized crystal structure of Pr3Mg3InGaAg.

a = 7.7209 Å, b = 7.7209 Å, c = 4.5625 Å
α = 90.00°, β = 90.00°, γ = 120.00°
Closest atoms and distances in Å follow each position.
Atoms (fractional coordinates):
1 Mg 0.2386 0.9969 0.5000  2 Ag 2.94, 1 Ga 2.98, 1 In 3.01, 2 Mg 3.21
2 Ag 0.0000 0.0000 0.0000  6 Mg 2.94, 3 Pr 3.22
3 Pr 0.5774 0.9879 0.0000  2 Ga 3.20, 1 Ag 3.22, 2 In 3.31, 4 Mg 3.50-3.56
4 Mg 0.7583 0.7614 0.5000  2 Ag 2.94, 1 Ga 2.98, 1 In 3.01, 2 Mg 3.21
5 Mg 0.0031 0.2417 0.5000  2 Ag 2.94, 1 Ga 2.98, 1 In 3.01, 2 Mg 3.21
6 Pr 0.4105 0.4226 0.0000  2 Ga 3.20, 1 Ag 3.22, 2 In 3.31, 4 Mg 3.50-3.56
7 Pr 0.0121 0.5895 0.0000  2 Ga 3.20, 1 Ag 3.22, 2 In 3.31, 4 Mg 3.50-3.56
8 In 0.6667 0.3333 0.5000  3 Mg 3.01, 6 Pr 3.31
9 Ga 0.3333 0.6667 0.5000  3 Mg 2.98, 6 Pr 3.20

Summary:
* crystal system: hexagonal
* raw total energy: -3.469 eV per atom

No. 8
VASP calculation (PBE-GGA) on an optimized crystal structure of InGaAg2Se4.

a = 7.2627 Å, b = 7.2627 Å, c = 7.2627 Å
α = 130.10°, β = 130.10°, γ = 73.24°
Closest atoms and distances in Å follow each position.
Atoms (fractional coordinates):
1 Se 0.6330 0.6017 0.4968  1 Ga 2.46, 1 In 2.64, 2 Ag 2.67-2.69
2 Se 0.1049 0.1362 0.5032  1 Ga 2.46, 1 In 2.64, 2 Ag 2.67-2.69
3 Ag 0.2500 0.7500 0.5000  4 Se 2.69
4 Ag 0.0000 0.0000 0.0000  4 Se 2.67
5 In 0.5000 0.5000 0.0000  4 Se 2.64
6 Se 0.3983 0.8951 0.0312  1 Ga 2.46, 1 In 2.64, 2 Ag 2.67-2.69
7 Se 0.8638 0.3670 0.9688  1 Ga 2.46, 1 In 2.64, 2 Ag 2.67-2.69
8 Ga 0.7500 0.2500 0.5000  4 Se 2.46

Summary:
* crystal system: tetragonal
* raw total energy: -3.614 eV per atom

No. 9
VASP calculation (PBE-GGA) on an optimized crystal structure of InGaAg2Te4.

a = 7.8131 Å, b = 7.8131 Å, c = 7.8131 Å
α = 130.84°, β = 130.84°, γ = 72.07°
Closest atoms and distances in Å follow each position.
Atoms (fractional coordinates):
1 Te 0.3575 0.3636 0.4814  1 Ga 2.68, 2 Ag 2.80-2.82, 1 In 2.85
2 Ga 0.0000 0.0000 0.0000  4 Te 2.68
3 Ag 0.5000 0.5000 0.0000  4 Te 2.82
4 Te 0.1240 0.6425 0.0062  1 Ga 2.68, 2 Ag 2.80-2.82, 1 In 2.85
5 In 0.7500 0.2500 0.5000  4 Te 2.85
6 Te 0.8822 0.8760 0.5186  1 Ga 2.68, 2 Ag 2.80-2.82, 1 In 2.85
7 Te 0.6364 0.1178 0.9938  1 Ga 2.68, 2 Ag 2.80-2.82, 1 In 2.85
8 Ag 0.2500 0.7500 0.5000  4 Te 2.80

Summary:
* crystal system: tetragonal
* raw total energy: -3.289 eV per atom

No. 10
VASP calculation (PBE-GGA) on an optimized crystal structure of GaAgIr.

a = 7.4041 Å, b = 7.4041 Å, c = 3.0416 Å
α = 90.00°, β = 90.00°, γ = 120.00°
Closest atoms and distances in Å follow each position.
Atoms (fractional coordinates):
1 Ga 0.0000 0.2901 0.0000  4 Ir 2.63-2.64, 2 Ag 2.86
2 Ag 0.0000 0.6174 0.5000  5 Ir 2.76-2.83, 6 Ga 2.86-2.98, 2 Ag 3.04
3 Ir 0.0000 0.0000 0.5000  6 Ga 2.63, 3 Ag 2.83
4 Ir 0.3333 0.6667 0.0000  3 Ga 2.64, 6 Ag 2.76
5 Ag 0.6174 0.0000 0.5000  5 Ir 2.76-2.83, 6 Ga 2.86-2.98, 2 Ag 3.04
6 Ag 0.3826 0.3826 0.5000  5 Ir 2.76-2.83, 6 Ga 2.86-2.98, 2 Ag 3.04
7 Ir 0.6667 0.3333 0.0000  3 Ga 2.64, 6 Ag 2.76
8 Ga 0.2901 0.0000 0.0000  4 Ir 2.63-2.64, 2 Ag 2.86
9 Ga 0.7099 0.7099 0.0000  4 Ir 2.63-2.64, 2 Ag 2.86

Summary:
* crystal system: hexagonal
* raw total energy: -4.902 eV per atom

No. 11
VASP calculation (PBE-GGA) on an optimized crystal structure of GaAgIr2.

a = 4.4468 Å, b = 4.4468 Å, c = 4.4468 Å
α = 60.00°, β = 60.00°, γ = 60.00°
Closest atoms and distances in Å follow each position.
Atoms (fractional coordinates):
1 Ga 0.5000 0.5000 0.5000  4 Ir 2.72, 4 Ag 2.72
2 Ag 0.2500 0.2500 0.2500  4 Ga 2.72, 4 Ir 2.72
3 Ir 0.0000 0.0000 0.0000  4 Ir 2.72, 4 Ag 2.72
4 Ir 0.7500 0.7500 0.7500  4 Ga 2.72, 4 Ir 2.72

Summary:
* crystal system: cubic
* raw total energy: -5.628 eV per atom

No. 12
VASP calculation (PBE-GGA) on an optimized crystal structure of GaAgIr.

a = 4.2973 Å, b = 4.2973 Å, c = 4.2973 Å
α = 60.00°, β = 60.00°, γ = 60.00°
Closest atoms and distances in Å follow each position.
Atoms (fractional coordinates):
1 Ga 0.7500 0.7500 0.7500  4 Ir 2.63
2 Ir 0.0000 0.0000 0.0000  4 Ag 2.63, 4 Ga 2.63
3 Ag 0.2500 0.2500 0.2500  4 Ir 2.63

Summary:
* crystal system: cubic
* raw total energy: -4.714 eV per atom

Question: raw total energy of number 7 (Pr3Mg3InGaAg)?
Answer: -3.469 eV per atom

Question: Which of these has the highest raw total energy?
Answer: Li2Mg2InGaAg2

Question: raw total energy of number 8 (InGaAg2Se4)?
Answer: -3.614 eV per atom

Question: Which value of raw total energy does entry 6 give?
Answer: -2.546 eV per atom